No. 1
Compound: Np2TcGe
Source: Alexandria
Functional: GGA-PBE
Structure: relaxed

Unit cell a=3.730 b=3.730 c=5.587 alpha=90.00 beta=90.00 gamma=90.00
Fractional positions:
Np1 0.000 0.000 0.742
Np2 0.000 0.000 0.258
Ge1 0.500 0.500 0.500
Tc1 0.500 0.500 0.000

Results
Space-group type   P4/mmm, No. 123
E_form   -0.25 eV per formula unit



No. 2
Compound: Ba6BiSe3I2
Source: Alexandria
Functional: GGA-PBE
Structure: relaxed

Unit cell a=8.402 b=8.402 c=8.556 alpha=99.42 beta=99.42 gamma=119.95
Fractional positions:
Ba1 0.908 0.587 0.724
Ba2 0.771 0.771 0.275
Ba3 0.092 0.413 0.276
Ba4 0.587 0.908 0.724
Ba5 0.229 0.229 0.725
Ba6 0.413 0.092 0.276
Bi1 0.000 0.000 0.000
Se1 0.170 0.830 0.500
Se2 0.830 0.170 0.500
Se3 0.500 0.500 0.500
I1 0.334 0.666 0.000
I2 0.666 0.334 0.000

Results
Formation energy (no corrections)   -1690.5 meV per atom
Space-group type   C2/m, No. 12



No. 3
Compound: Ti3Te4
Source: Alexandria
Functional: GGA-PBE
Structure: relaxed

Unit cell a=7.467 b=7.467 c=7.059 alpha=62.09 beta=62.09 gamma=29.58
Fractional positions:
Ti1 0.000 0.000 0.000
Ti2 0.247 0.247 0.705
Ti3 0.753 0.753 0.295
Te1 0.365 0.365 0.960
Te2 0.635 0.635 0.040
Te3 0.893 0.893 0.449
Te4 0.107 0.107 0.551

Results
Formation energy (no corrections)   -719.4 meV per atom
Space-group type   C2/m, No. 12



No. 4
Compound: Ca3Nb4O12F2
Source: Alexandria
Functional: GGA-PBE
Structure: relaxed

Unit cell a=10.590 b=10.590 c=10.590 alpha=90.00 beta=90.00 gamma=90.00
Fractional positions:
Ca1 0.875 0.863 0.613
Ca2 0.887 0.125 0.363
Ca3 0.637 0.387 0.375
Ca4 0.863 0.613 0.875
Ca5 0.375 0.637 0.387
Ca6 0.125 0.363 0.887
Ca7 0.363 0.887 0.125
Ca8 0.625 0.137 0.113
Ca9 0.113 0.625 0.137
Ca10 0.613 0.875 0.863
Ca11 0.137 0.113 0.625
Ca12 0.387 0.375 0.637
Nb1 0.875 0.124 0.874
Nb2 0.874 0.875 0.124
Nb3 0.374 0.625 0.876
Nb4 0.875 0.625 0.375
Nb5 0.626 0.125 0.624
Nb6 0.375 0.376 0.126
Nb7 0.375 0.875 0.625
Nb8 0.126 0.375 0.376
Nb9 0.124 0.874 0.875
Nb10 0.125 0.624 0.626
Nb11 0.625 0.375 0.875
Nb12 0.624 0.626 0.125
Nb13 0.376 0.126 0.375
Nb14 0.876 0.374 0.625
Nb15 0.625 0.876 0.374
Nb16 0.125 0.125 0.125
O1 0.001 0.495 0.697
O2 0.312 0.010 0.508
O3 0.492 0.812 0.490
O4 0.251 0.447 0.255
O5 0.062 0.242 0.260
O6 0.990 0.008 0.188
O7 0.053 0.745 0.751
O8 0.740 0.562 0.258
O9 0.992 0.688 0.510
O10 0.742 0.240 0.938
O11 0.495 0.697 0.001
O12 0.005 0.303 0.501
O13 0.501 0.005 0.303
O14 0.688 0.510 0.992
O15 0.995 0.803 0.999
O16 0.499 0.505 0.197
O17 0.803 0.999 0.995
O18 0.242 0.260 0.062
O19 0.758 0.760 0.438
O20 0.303 0.501 0.005
O21 0.255 0.251 0.447
O22 0.938 0.742 0.240
O23 0.249 0.553 0.755
O24 0.505 0.197 0.499
O25 0.438 0.758 0.760
O26 0.697 0.001 0.495
O27 0.999 0.995 0.803
O28 0.240 0.938 0.742
O29 0.245 0.749 0.947
O30 0.745 0.751 0.053
O31 0.197 0.499 0.505
O32 0.188 0.990 0.008
O33 0.562 0.258 0.740
O34 0.258 0.740 0.562
O35 0.490 0.492 0.812
O36 0.751 0.053 0.745
O37 0.447 0.255 0.251
O38 0.760 0.438 0.758
O39 0.755 0.249 0.553
O40 0.010 0.508 0.312
O41 0.553 0.755 0.249
O42 0.947 0.245 0.749
O43 0.260 0.062 0.242
O44 0.749 0.947 0.245
O45 0.510 0.992 0.688
O46 0.508 0.312 0.010
O47 0.812 0.490 0.492
O48 0.008 0.188 0.990
F1 0.512 0.988 0.012
F2 0.012 0.512 0.988
F3 0.488 0.488 0.488
F4 0.262 0.738 0.238
F5 0.738 0.238 0.262
F6 0.988 0.012 0.512
F7 0.238 0.262 0.738
F8 0.762 0.762 0.762

Results
Formation energy (no corrections)   -2926.1 meV per atom
Space-group type   P4_332, No. 212



No. 5
Compound: CoSiTc2
Source: Alexandria
Functional: GGA-PBE
Structure: relaxed

Unit cell a=2.791 b=2.791 c=6.550 alpha=90.00 beta=90.00 gamma=90.00
Fractional positions:
Co1 0.000 0.000 0.537
Si1 0.500 0.500 0.729
Tc1 0.000 0.000 0.980
Tc2 0.500 0.500 0.254

Results
Formation energy (no corrections)   -220.4 meV per atom
Space-group type   P4mm, No. 99



No. 6
Compound: Pr3Y2Tm3
Source: Alexandria
Functional: GGA-PBE
Structure: relaxed

Unit cell a=5.743 b=6.055 c=8.658 alpha=109.08 beta=109.37 gamma=90.00
Fractional positions:
Pr1 0.866 0.300 0.731
Pr2 0.134 0.700 0.269
Pr3 0.000 0.000 0.000
Y1 0.750 0.683 0.499
Y2 0.250 0.317 0.501
Tm1 0.368 0.919 0.737
Tm2 0.500 0.500 0.000
Tm3 0.632 0.081 0.263

Results
Space-group type   C2/m, No. 12
E_form   0.72 eV per formula unit



No. 7
Compound: Pr2Al5Ag3
Source: Alexandria
Functional: GGA-PBE
Structure: relaxed

Unit cell a=6.211 b=8.825 c=8.825 alpha=75.61 beta=69.40 gamma=69.40
Fractional positions:
Pr1 0.130 0.608 0.132
Pr2 0.630 0.132 0.608
Pr3 0.870 0.392 0.868
Pr4 0.370 0.868 0.392
Al1 0.386 0.263 0.965
Al2 0.886 0.965 0.263
Al3 0.614 0.737 0.035
Al4 0.114 0.035 0.737
Al5 0.483 0.767 0.767
Al6 0.517 0.233 0.233
Al7 0.750 0.500 0.500
Al8 0.250 0.500 0.500
Al9 0.017 0.233 0.233
Al10 0.983 0.767 0.767
Ag1 0.368 0.514 0.750
Ag2 0.868 0.750 0.514
Ag3 0.632 0.486 0.250
Ag4 0.132 0.250 0.486
Ag5 0.250 0.000 0.000
Ag6 0.750 0.000 0.000

Results
Space-group type   Ibam, No. 72
E_form   -3.90 eV per formula unit



No. 8
Compound: ZnSe3
Source: Alexandria
Functional: GGA-PBE
Structure: relaxed

Unit cell a=8.436 b=8.436 c=3.875 alpha=90.00 beta=90.00 gamma=121.13
Fractional positions:
Zn1 0.580 0.420 0.750
Zn2 0.420 0.580 0.250
Se1 0.260 0.740 0.750
Se2 0.740 0.260 0.250
Se3 0.581 0.826 0.750
Se4 0.419 0.174 0.250
Se5 0.826 0.581 0.250
Se6 0.174 0.419 0.750

Results
Formation energy (no corrections)   53.9 meV per atom
Space-group type   Cmcm, No. 63



no.,electronic total energy (eV for the cell shown)
1,-41.1
2,-49.3
3,-41.3
4,-683.9
5,-34.1
6,-40.0
7,-81.5
8,-23.0